(1)
Below is a relaxed structure of TbPm3Nd4Se8, with properties calculated at the GGA-PBE level.

Unit cell a=8.3969 b=8.4143 c=8.3966 alpha=119.93 beta=120.00 gamma=90.00
Sites, in units of the cell vectors:
1 Nd 0.0000 0.0000 0.5000
2 Nd 0.5000 0.0000 0.0000
3 Se 0.7490 0.7468 0.4980
4 Se 0.2510 0.2532 0.5020
5 Pm 0.5000 0.5000 0.0000
6 Se 0.2476 0.2566 0.0021
7 Se 0.7545 0.2566 0.0021
8 Nd 0.0000 0.0000 0.0000
9 Pm 0.0000 0.5000 0.5000
10 Se 0.2455 0.7434 0.9979
11 Tb 0.0000 0.5000 0.0000
12 Se 0.7524 0.7434 0.9979
13 Se 0.2455 0.7434 0.4910
14 Se 0.7545 0.2566 0.5090
15 Nd 0.5000 0.0000 0.5000
16 Pm 0.5000 0.5000 0.5000

Output
- SG: R-3m
- Crystal system: trigonal
- Raw total energy: -5.938 eV/atom



(2)
Below is a relaxed structure of TbPmNdSe3, with properties calculated at the GGA-PBE level.

Unit cell a=4.0377 b=7.2967 c=10.8483 alpha=102.57 beta=90.00 gamma=90.00
Sites, in units of the cell vectors:
1 Tb 0.2500 0.7665 0.0588
2 Nd 0.2500 0.1210 0.6288
3 Pm 0.7500 0.6602 0.7011
4 Nd 0.7500 0.8790 0.3712
5 Tb 0.7500 0.2335 0.9412
6 Se 0.7500 0.2945 0.4932
7 Se 0.7500 0.5421 0.1600
8 Se 0.2500 0.4579 0.8400
9 Pm 0.2500 0.3398 0.2989
10 Se 0.7500 0.0565 0.1535
11 Se 0.2500 0.9435 0.8465
12 Se 0.2500 0.7055 0.5068

Output
- SG: P2_1/m
- Crystal system: monoclinic
- Raw total energy: -5.832 eV/atom



(3)
Below is a relaxed structure of TbPm3Nd2Se6, with properties calculated at the GGA-PBE level.

Unit cell a=4.1746 b=8.4289 c=9.3580 alpha=102.86 beta=102.89 gamma=90.00
Sites, in units of the cell vectors:
1 Pm 0.1695 0.8334 0.3390
2 Se 0.3370 0.9206 0.6740
3 Pm 0.5000 0.5000 0.0000
4 Se 0.9985 0.2425 0.9970
5 Pm 0.8305 0.1666 0.6610
6 Se 0.0015 0.7575 0.0030
7 Tb 0.5000 0.0000 0.0000
8 Nd 0.1678 0.3352 0.3355
9 Nd 0.8322 0.6648 0.6645
10 Se 0.3346 0.4151 0.6693
11 Se 0.6654 0.5849 0.3307
12 Se 0.6630 0.0794 0.3260

Output
- SG: C2/m
- Crystal system: monoclinic
- Raw total energy: -5.935 eV/atom



(4)
Below is a relaxed structure of Tb2PmNdSe6, with properties calculated at the GGA-PBE level.

Unit cell a=7.3556 b=7.3555 c=7.7995 alpha=61.86 beta=61.86 gamma=60.00
Sites, in units of the cell vectors:
1 Tb 0.0144 0.0145 0.9566
2 Pm 0.8144 0.8145 0.5566
3 Se 0.7262 0.1219 0.7471
4 Se 0.1220 0.4048 0.7472
5 Tb 0.5139 0.5138 0.4585
6 Se 0.9015 0.6253 0.2475
7 Se 0.4047 0.7261 0.7471
8 Se 0.6252 0.2258 0.2475
9 Nd 0.3134 0.3134 0.0597
10 Se 0.2258 0.9015 0.2474

Output
- SG: R3
- Crystal system: trigonal
- Raw total energy: -5.817 eV/atom



| no. | calculated density (g cm⁻³) | magnetic moment (μB/atom) |
| --- | --- | --- |
| 1 | 7.128 | 0.000 |
| 2 | 7.293 | 0.000 |
| 3 | 7.206 | 0.000 |
| 4 | 5.856 | 0.000 |